Density functional theory data (PBE) for an optimized crystal structure of Ta2MnVCo.

Results
**Calculated formation energy**: 1.02 eV/atom
**Magnetic moment**: 0.0 Bohr magnetons per cell
**Space-group type**: No. 123

Cell: 4.6055 4.0586 4.6055 Å, 90.00 90.00 90.00°
Sites, in units of the cell vectors:
V1 0.0000 0.5000 0.0000
Ta1 0.5000 0.0000 0.0000
Mn1 0.0000 0.0000 0.0000
Co1 0.5000 0.5000 0.5000
Ta2 0.0000 0.0000 0.5000